Record 1
La3PuO after structural relaxation, computed with PBE-GGA. Values from VASP.

## Properties
The value obtained for the spin magnetization is 1.38 μB/atom. For the density, the calculation gives 8.35 g/cm3. As for the density of states at the Fermi level: 15.3 states/eV per cell. As for the formation energy without anion corrections: -1.02 eV per atom. The volume is 26.9 Å³/atom.

```
&SYSTEM
  ibrav = 0, nat = 5, ntyp = 3
/
ATOMIC_SPECIES
La 138.91 La.upf
Pu 244.00 Pu.upf
O 16.00 O.upf
ATOMIC_POSITIONS crystal
La 0.000 0.000 0.500
La 0.000 0.500 0.000
La 0.500 0.000 0.000
Pu 0.500 0.500 0.500
O 0.000 0.000 0.000
CELL_PARAMETERS angstrom
5.124 0.000 0.000
0.000 5.124 0.000
0.000 0.000 5.124
```

=====

Record 2
La2PuO after structural relaxation, computed with PBE-GGA. Values from VASP.

## Properties
The value obtained for the spin magnetization is 1.52 μB/atom. For the density, the calculation gives 8.45 g/cm3. As for the density of states at the Fermi level: 11.2 states/eV per cell. As for the formation energy without anion corrections: -1.06 eV per atom. The volume is 26.4 Å³/atom. For the energy above the most stable polymorph in this dataset, the calculation gives 0.000 eV per atom.

```
&SYSTEM
  ibrav = 0, nat = 4, ntyp = 3
/
ATOMIC_SPECIES
La 138.91 La.upf
Pu 244.00 Pu.upf
O 16.00 O.upf
ATOMIC_POSITIONS crystal
La 0.115 0.115 0.115
La 0.885 0.885 0.885
Pu 0.000 0.000 0.000
O 0.500 0.500 0.500
CELL_PARAMETERS angstrom
1.808 1.044 9.329
-1.808 1.044 9.329
0.000 -2.088 9.329
```

=====

Record 3
La3PuO6 after structural relaxation, computed with PBE-GGA. Values from VASP.

## Properties
The value obtained for the spin magnetization is 0.01 μB/atom. For the density, the calculation gives 6.93 g/cm3. As for the density of states at the Fermi level: 15.2 states/eV per cell. As for the formation energy without anion corrections: -3.30 eV per atom. The volume is 18.1 Å³/atom.

```
&SYSTEM
  ibrav = 0, nat = 20, ntyp = 3
/
ATOMIC_SPECIES
La 138.91 La.upf
Pu 244.00 Pu.upf
O 16.00 O.upf
ATOMIC_POSITIONS crystal
La 0.056 0.752 0.562
La 0.248 0.438 0.944
La 0.438 0.944 0.248
La 0.562 0.056 0.752
La 0.752 0.562 0.056
La 0.944 0.248 0.438
Pu 0.000 0.000 0.000
Pu 0.500 0.500 0.500
O 0.031 0.689 0.901
O 0.099 0.969 0.311
O 0.188 0.437 0.592
O 0.311 0.099 0.969
O 0.408 0.812 0.563
O 0.437 0.592 0.188
O 0.563 0.408 0.812
O 0.592 0.188 0.437
O 0.689 0.901 0.031
O 0.812 0.563 0.408
O 0.901 0.031 0.689
O 0.969 0.311 0.099
CELL_PARAMETERS angstrom
5.121 2.957 3.992
-5.121 2.957 3.992
0.000 -5.913 3.992
```

=====

Record 4
LaPuO2 after structural relaxation, computed with PBE-GGA. Values from VASP.

## Properties
The value obtained for the spin magnetization is 1.50 μB/atom. For the density, the calculation gives 11.37 g/cm3. As for the density of states at the Fermi level: 5.3 states/eV per cell. As for the formation energy without anion corrections: -2.08 eV per atom. The volume is 15.2 Å³/atom. For the energy above the most stable polymorph in this dataset, the calculation gives 0.587 eV per atom.

```
&SYSTEM
  ibrav = 0, nat = 4, ntyp = 3
/
ATOMIC_SPECIES
La 138.91 La.upf
Pu 244.00 Pu.upf
O 16.00 O.upf
ATOMIC_POSITIONS crystal
La 0.000 0.000 0.000
Pu 0.000 0.000 0.500
O 0.500 0.500 0.249
O 0.500 0.500 0.751
CELL_PARAMETERS angstrom
3.111 0.000 0.000
0.000 3.111 0.000
0.000 0.000 6.263
```

=====

Record 5
La2Pu2O7 after structural relaxation, computed with PBE-GGA. Values from VASP.

## Properties
The value obtained for the spin magnetization is 0.73 μB/atom. For the density, the calculation gives 8.45 g/cm3. As for the density of states at the Fermi level: 13.4 states/eV per cell. As for the formation energy without anion corrections: -3.30 eV per atom. The volume is 15.7 Å³/atom.

```
&SYSTEM
  ibrav = 0, nat = 22, ntyp = 3
/
ATOMIC_SPECIES
La 138.91 La.upf
Pu 244.00 Pu.upf
O 16.00 O.upf
ATOMIC_POSITIONS crystal
La 0.000 0.000 0.000
La 0.000 0.000 0.500
La 0.000 0.500 0.000
La 0.500 0.000 0.000
Pu 0.000 0.500 0.500
Pu 0.500 0.000 0.500
Pu 0.500 0.500 0.000
Pu 0.500 0.500 0.500
O 0.125 0.125 0.125
O 0.158 0.158 0.592
O 0.158 0.592 0.158
O 0.158 0.592 0.592
O 0.408 0.408 0.842
O 0.408 0.842 0.408
O 0.408 0.842 0.842
O 0.592 0.158 0.158
O 0.592 0.158 0.592
O 0.592 0.592 0.158
O 0.842 0.408 0.408
O 0.842 0.408 0.842
O 0.842 0.842 0.408
O 0.875 0.875 0.875
CELL_PARAMETERS angstrom
0.000 5.567 5.567
5.567 0.000 5.567
5.567 5.567 0.000
```

=====

Record 6
LaPuO2 after structural relaxation, computed with PBE-GGA. Values from VASP.

## Properties
The value obtained for the spin magnetization is 1.31 μB/atom. For the density, the calculation gives 10.72 g/cm3. As for the density of states at the Fermi level: 4.8 states/eV per cell. As for the formation energy without anion corrections: -2.67 eV per atom. The volume is 16.1 Å³/atom. For the energy above the most stable polymorph in this dataset, the calculation gives 0.000 eV per atom.

```
&SYSTEM
  ibrav = 0, nat = 4, ntyp = 3
/
ATOMIC_SPECIES
La 138.91 La.upf
Pu 244.00 Pu.upf
O 16.00 O.upf
ATOMIC_POSITIONS crystal
La 0.000 0.000 0.000
Pu 0.500 0.500 0.500
O 0.242 0.242 0.242
O 0.758 0.758 0.758
CELL_PARAMETERS angstrom
1.776 1.025 5.887
-1.776 1.025 5.887
0.000 -2.050 5.887
```

=====

Record 7
Rb2LaPu3O12 after structural relaxation, computed with PBE-GGA. Values from VASP.

## Properties
The value obtained for the spin magnetization is 0.28 μB/atom. For the density, the calculation gives 6.51 g/cm3. As for the density of states at the Fermi level: 8.1 states/eV per cell. As for the formation energy without anion corrections: -2.54 eV per atom. The volume is 17.5 Å³/atom.

```
&SYSTEM
  ibrav = 0, nat = 18, ntyp = 4
/
ATOMIC_SPECIES
Rb 85.47 Rb.upf
La 138.91 La.upf
Pu 244.00 Pu.upf
O 16.00 O.upf
ATOMIC_POSITIONS crystal
Rb 0.109 0.109 0.109
Rb 0.891 0.891 0.891
La 0.500 0.500 0.500
Pu 0.000 0.500 0.500
Pu 0.500 0.000 0.500
Pu 0.500 0.500 0.000
O 0.084 0.630 0.630
O 0.242 0.242 0.593
O 0.242 0.593 0.242
O 0.370 0.370 0.916
O 0.370 0.916 0.370
O 0.407 0.758 0.758
O 0.593 0.242 0.242
O 0.630 0.084 0.630
O 0.630 0.630 0.084
O 0.758 0.407 0.758
O 0.758 0.758 0.407
O 0.916 0.370 0.370
CELL_PARAMETERS angstrom
4.092 2.363 5.422
-4.092 2.363 5.422
0.000 -4.725 5.422
```

=====

Record 8
Rb3LaPu2O9 after structural relaxation, computed with PBE-GGA. Values from VASP.

## Properties
The value obtained for the spin magnetization is 0.27 μB/atom. For the density, the calculation gives 6.69 g/cm3. As for the density of states at the Fermi level: 8.8 states/eV per cell. As for the formation energy without anion corrections: -2.52 eV per atom. The volume is 17.0 Å³/atom.

```
&SYSTEM
  ibrav = 0, nat = 15, ntyp = 4
/
ATOMIC_SPECIES
Rb 85.47 Rb.upf
La 138.91 La.upf
Pu 244.00 Pu.upf
O 16.00 O.upf
ATOMIC_POSITIONS crystal
Rb 0.000 0.000 0.000
Rb 0.333 0.667 0.664
Rb 0.667 0.333 0.336
La 0.000 0.000 0.500
Pu 0.333 0.667 0.158
Pu 0.667 0.333 0.842
O 0.000 0.500 0.000
O 0.180 0.360 0.313
O 0.180 0.820 0.313
O 0.360 0.180 0.687
O 0.500 0.000 0.000
O 0.500 0.500 0.000
O 0.640 0.820 0.313
O 0.820 0.180 0.687
O 0.820 0.640 0.687
CELL_PARAMETERS angstrom
6.212 0.000 0.000
-3.106 5.379 0.000
0.000 0.000 7.634
```

=====

Record 9
Rb4LaPu3O12 after structural relaxation, computed with PBE-GGA. Values from VASP.

## Properties
The value obtained for the spin magnetization is 0.35 μB/atom. For the density, the calculation gives 6.95 g/cm3. As for the density of states at the Fermi level: 10.0 states/eV per cell. As for the formation energy without anion corrections: -2.54 eV per atom. The volume is 16.8 Å³/atom.

```
&SYSTEM
  ibrav = 0, nat = 20, ntyp = 4
/
ATOMIC_SPECIES
Rb 85.47 Rb.upf
La 138.91 La.upf
Pu 244.00 Pu.upf
O 16.00 O.upf
ATOMIC_POSITIONS crystal
Rb 0.000 0.000 0.500
Rb 0.000 0.500 0.000
Rb 0.500 0.000 0.000
Rb 0.500 0.500 0.500
La 0.000 0.000 0.000
Pu 0.000 0.500 0.500
Pu 0.500 0.000 0.500
Pu 0.500 0.500 0.000
O 0.000 0.273 0.273
O 0.000 0.727 0.727
O 0.250 0.500 0.750
O 0.250 0.750 0.500
O 0.273 0.000 0.273
O 0.273 0.273 0.000
O 0.500 0.250 0.750
O 0.500 0.750 0.250
O 0.727 0.000 0.727
O 0.727 0.727 0.000
O 0.750 0.250 0.500
O 0.750 0.500 0.250
CELL_PARAMETERS angstrom
-4.377 4.377 4.377
4.377 -4.377 4.377
4.377 4.377 -4.377
```

=====

Record 10
Rb3La2PuO6 after structural relaxation, computed with PBE-GGA. Values from VASP.

## Properties
The value obtained for the spin magnetization is 0.42 μB/atom. For the density, the calculation gives 6.16 g/cm3. As for the density of states at the Fermi level: 7.5 states/eV per cell. As for the formation energy without anion corrections: -2.50 eV per atom. The volume is 19.6 Å³/atom.

```
&SYSTEM
  ibrav = 0, nat = 12, ntyp = 4
/
ATOMIC_SPECIES
Rb 85.47 Rb.upf
La 138.91 La.upf
Pu 244.00 Pu.upf
O 16.00 O.upf
ATOMIC_POSITIONS crystal
Rb 0.000 0.000 0.000
Rb 0.334 0.666 0.000
Rb 0.666 0.334 0.000
La 0.167 0.833 0.500
La 0.833 0.167 0.500
Pu 0.500 0.500 0.500
O 0.116 0.440 0.321
O 0.236 0.236 0.679
O 0.440 0.116 0.321
O 0.560 0.884 0.679
O 0.764 0.764 0.321
O 0.884 0.560 0.679
CELL_PARAMETERS angstrom
3.213 -5.564 0.000
3.213 5.564 0.000
-2.142 0.000 6.586
```

=====

Record 11
RbLaPu2O8 after structural relaxation, computed with PBE-GGA. Values from VASP.

## Properties
The value obtained for the spin magnetization is 0.33 μB/atom. For the density, the calculation gives 8.29 g/cm3. As for the density of states at the Fermi level: 9.0 states/eV per cell. As for the formation energy without anion corrections: -2.41 eV per atom. The volume is 14.0 Å³/atom.

```
&SYSTEM
  ibrav = 0, nat = 12, ntyp = 4
/
ATOMIC_SPECIES
Rb 85.47 Rb.upf
La 138.91 La.upf
Pu 244.00 Pu.upf
O 16.00 O.upf
ATOMIC_POSITIONS crystal
Rb 0.000 0.000 0.000
La 0.750 0.250 0.500
Pu 0.250 0.750 0.500
Pu 0.500 0.500 0.000
O 0.165 0.137 0.558
O 0.165 0.607 0.029
O 0.393 0.422 0.558
O 0.393 0.835 0.971
O 0.578 0.137 0.971
O 0.578 0.607 0.442
O 0.863 0.422 0.029
O 0.863 0.835 0.442
CELL_PARAMETERS angstrom
-2.834 2.834 5.237
2.834 -2.834 5.237
2.834 2.834 -5.237
```

=====

Record 12
La2PuS2O2 after structural relaxation, computed with PBE-GGA. Values from VASP.

## Properties
The value obtained for the spin magnetization is 0.78 μB/atom. For the density, the calculation gives 7.05 g/cm3. As for the density of states at the Fermi level: 4.0 states/eV per cell. As for the formation energy without anion corrections: -2.41 eV per atom. The volume is 20.8 Å³/atom.

```
&SYSTEM
  ibrav = 0, nat = 7, ntyp = 4
/
ATOMIC_SPECIES
La 138.91 La.upf
Pu 244.00 Pu.upf
S 32.06 S.upf
O 16.00 O.upf
ATOMIC_POSITIONS crystal
La 0.140 0.140 0.000
La 0.860 0.860 0.000
Pu 0.500 0.500 0.000
S 0.323 0.323 0.000
S 0.677 0.677 0.000
O 0.000 0.500 0.500
O 0.500 0.000 0.500
CELL_PARAMETERS angstrom
-2.161 2.161 7.785
2.161 -2.161 7.785
2.161 2.161 -7.785
```